DFT (GGA-PBE) results for a relaxed structure of NaTlAs.

Raw total energy in eV for the cell shown: -17.74
Energy above the lowest structure with this stoichiometry in meV per atom: 0.0
Size of the total moment in μB per formula unit: 0.00
Energy of formation in eV per atom: -0.178

abc: 4.648 6.751 6.471
angles: 121.44 111.05 90.00
Element x y z (fractional)
Tl 0.315 0.315 0.630
Tl 0.685 0.685 0.370
Na 0.000 0.241 0.000
Na 0.000 0.759 0.000
As 0.371 0.871 0.743
As 0.629 0.129 0.257